This record from Alexandria describes an optimized crystal structure of PmSbRh4. The functional is PBE-GGA.

The structure in CIF format:
```
data_PmSbRh4
_space_group_name_H-M_alt 'P 1'
_space_group_IT_number 1
_cell_length_a 4.089
_cell_length_b 7.062
_cell_length_c 7.665
_cell_angle_alpha 90.00
_cell_angle_beta 90.00
_cell_angle_gamma 90.00
loop_
_space_group_symop_operation_xyz
'x,y,z'
loop_
_atom_site_label
_atom_site_fract_x
_atom_site_fract_y
_atom_site_fract_z
_atom_site_occupancy
Rh1 0.500 0.299 0.958 1
Rh2 0.000 0.000 0.000 1
Rh3 0.500 0.701 0.042 1
Rh4 0.500 0.045 0.250 1
Pm1 0.000 0.666 0.750 1
Sb1 0.000 0.236 0.750 1
Rh5 0.500 0.299 0.542 1
Rh6 0.500 0.955 0.750 1
Pm2 0.000 0.334 0.250 1
Rh7 0.000 0.000 0.500 1
Sb2 0.000 0.764 0.250 1
Rh8 0.500 0.701 0.458 1
```

## Properties
**Symmetry**: Pmma (51)
**Calculated density**: 10.2 g cm⁻³
**Formation energy from raw total energies**: -0.37 eV per atom